(1)
Entry from Alexandria via LeMat-Bulk: an optimized crystal structure of SiRhN2O (PBE).

Computed properties:
Its size of the total moment is 0.00 μB per cell. Its volume is 12.01 A^3/atom. For the raw formation energy, the calculation gives 103 kJ per mole of atoms. The space group is P4/mmm, No. 123. As for the mass density: 4.839 g/cm³.

a b c (Å): 3.799 3.799 4.160
angles (deg): 90.00 90.00 90.00
Element x y z (fractional)
Si 0.000 0.000 0.000
Rh 0.500 0.500 0.500
N 0.000 0.500 0.500
N 0.500 0.000 0.500
O 0.500 0.500 0.000

(2)
Entry from Alexandria via LeMat-Bulk: an optimized crystal structure of SiRhNO2 (PBE).

Computed properties:
Its size of the total moment is 0.00 μB per cell. Its volume is 12.14 A^3/atom. For the raw formation energy, the calculation gives 40 kJ per mole of atoms. The space group is P4/mmm, No. 123. As for the mass density: 4.841 g/cm³.

a b c (Å): 4.078 4.078 3.651
angles (deg): 90.00 90.00 90.00
Element x y z (fractional)
Si 0.000 0.000 0.000
Rh 0.500 0.500 0.500
N 0.500 0.500 0.000
O 0.000 0.500 0.500
O 0.500 0.000 0.500

We obtain DOS(E_F) values of 3.3; 1.7 states/eV per cell for the records listed above, in that order.